1.
Crystalline KOsRu2 at its relaxed geometry, computed with PBE-GGA.

Magnetic moment: 0.00 μB per atom
Electronic total energy: -6.960 eV per atom
Energy relative to the elements: 760 meV per atom
ΔE to the lowest computed polymorph: 14 meV/atom

Cell lengths 3.7712, 2.7144, 8.3013 Å; angles 71.24, 90.00, 90.00 degrees
With the nearest neighbours (Å) after each atom.
Atoms (fractional coordinates):
Ru  0.0000  0.0915  0.9106  3 Ru 2.52-2.71, 4 Os 2.64
Ru  0.0000  0.4085  0.5894  3 Ru 2.52-2.71, 4 Os 2.64
K  0.5000  0.2500  0.2500  2 K 2.71
Os  0.5000  0.7500  0.7500  8 Ru 2.64, 2 Os 2.71

2.
Crystalline KOs2Ru at its relaxed geometry, computed with PBE-GGA.

Magnetic moment: 0.24 μB per atom
Electronic total energy: -6.646 eV per atom
Energy relative to the elements: 1562 meV per atom
ΔE to the lowest computed polymorph: 806 meV/atom

Cell lengths 4.5160, 4.5160, 4.5160 Å; angles 120.05, 120.05, 89.91 degrees
With the nearest neighbours (Å) after each atom.
Atoms (fractional coordinates):
Os  0.0000  0.0000  0.0000  4 K 2.76, 4 Os 2.76
K  0.7500  0.2500  0.5000  4 Ru 2.76, 4 Os 2.76
Os  0.2500  0.7500  0.5000  4 Ru 2.76, 4 Os 2.76
Ru  0.5000  0.5000  0.0000  4 K 2.76, 4 Os 2.76